[1]
# Si3NiPt12Pb2

A relaxed Si3NiPt12Pb2 crystal (GGA-PBE, Alexandria).

Computed properties:
- Density: 14.0 g/cm³

CIF file:
```
data_Si3NiPt12Pb2
_chemical_formula_sum 'Si9 Ni3 Pt36 Pb6'
_cell_length_a 8.0448
_cell_length_b 8.0448
_cell_length_c 18.4145
_cell_angle_alpha 90.00
_cell_angle_beta 90.00
_cell_angle_gamma 120.00
_space_group_name_H-M_alt 'R -3 m'
_space_group_IT_number 166
_space_group_name_Hall '-R 3 2"'
loop_
_atom_site_label
_atom_site_fract_x
_atom_site_fract_y
_atom_site_fract_z
_atom_site_occupancy
Si1 0.0000 0.5000 0.0000 1
Ni1 0.0000 0.0000 0.5000 1
Pt1 0.0025 0.5013 0.8726 1
Pt2 0.0144 0.5072 0.3723 1
Pb1 0.0000 0.0000 0.1192 1
```

=====

[2]
# TiNiPtPb2

A relaxed TiNiPtPb2 crystal (GGA-PBE, Alexandria).

Computed properties:
- E_form: 0.5911 eV/atom
- Density: 10.5 g/cm³

CIF file:
```
data_TiNiPtPb2
_chemical_formula_sum 'Ti1 Ni1 Pt1 Pb2'
_cell_length_a 4.863
_cell_length_b 4.863
_cell_length_c 4.808
_cell_angle_alpha 90.00
_cell_angle_beta 90.00
_cell_angle_gamma 90.00
_space_group_name_H-M_alt 'P 4/m m m'
_space_group_IT_number 123
_space_group_name_Hall '-P 4 2'
loop_
_atom_site_label
_atom_site_fract_x
_atom_site_fract_y
_atom_site_fract_z
_atom_site_occupancy
Ti1 0.000 0.000 0.000 1
Ni1 0.500 0.500 0.500 1
Pt1 0.500 0.500 0.000 1
Pb1 0.000 0.500 0.500 1
```

=====

[3]
# PuNiPb

A relaxed PuNiPb crystal (GGA-PBE, Alexandria).

Computed properties:
- E_form: 0.0277 eV/atom
- Density: 13.0 g/cm³

CIF file:
```
data_PuNiPb
_chemical_formula_sum 'Pu2 Ni2 Pb2'
_cell_length_a 3.302
_cell_length_b 3.302
_cell_length_c 11.925
_cell_angle_alpha 90.00
_cell_angle_beta 90.00
_cell_angle_gamma 90.00
_space_group_name_H-M_alt 'I 4 m m'
_space_group_IT_number 107
_space_group_name_Hall 'I 4 -2'
loop_
_atom_site_label
_atom_site_fract_x
_atom_site_fract_y
_atom_site_fract_z
_atom_site_occupancy
Pu1 0.000 0.000 0.000 1
Ni1 0.000 0.000 0.645 1
Pb1 0.000 0.000 0.283 1
```

=====

[4]
# PuNiPb

A relaxed PuNiPb crystal (GGA-PBE, Alexandria).

Computed properties:
- E_form: -0.0168 eV/atom
- Density: 12.6 g/cm³

CIF file:
```
data_PuNiPb
_chemical_formula_sum 'Pu1 Ni1 Pb1'
_cell_length_a 4.6394
_cell_length_b 4.6394
_cell_length_c 3.6170
_cell_angle_alpha 90.00
_cell_angle_beta 90.00
_cell_angle_gamma 120.00
_space_group_name_H-M_alt 'P -6 m 2'
_space_group_IT_number 187
_space_group_name_Hall 'P -6 2'
loop_
_atom_site_label
_atom_site_fract_x
_atom_site_fract_y
_atom_site_fract_z
_atom_site_occupancy
Pu1 0.0000 0.0000 0.0000 1
Ni1 0.3333 0.6667 0.5000 1
Pb1 0.6667 0.3333 0.5000 1
```

=====

[5]
# PuNiPb

A relaxed PuNiPb crystal (GGA-PBE, Alexandria).

Computed properties:
- E_form: 0.1306 eV/atom
- Density: 14.5 g/cm³

CIF file:
```
data_PuNiPb
_chemical_formula_sum 'Pu4 Ni4 Pb4'
_cell_length_a 8.055
_cell_length_b 3.414
_cell_length_c 8.514
_cell_angle_alpha 90.00
_cell_angle_beta 90.00
_cell_angle_gamma 90.00
_space_group_name_H-M_alt 'P n m a'
_space_group_IT_number 62
loop_
_space_group_symop_operation_xyz
'x,y,z'
'-x,-y,-z'
'-x+1/2,-y,z+1/2'
'x+1/2,y,-z+1/2'
'x+1/2,-y+1/2,-z+1/2'
'-x+1/2,y+1/2,z+1/2'
'-x,y+1/2,-z'
'x,-y+1/2,z'
loop_
_atom_site_label
_atom_site_fract_x
_atom_site_fract_y
_atom_site_fract_z
_atom_site_occupancy
Pu1 0.000 0.250 0.093 1
Ni1 0.181 0.250 0.636 1
Pb1 0.149 0.750 0.397 1
```

=====

[6]
# PuNiRhPb

A relaxed PuNiRhPb crystal (GGA-PBE, Alexandria).

Computed properties:
- E_form: -0.1229 eV/atom
- Density: 13.4 g/cm³

CIF file:
```
data_PuNiRhPb
_chemical_formula_sum 'Pu4 Ni4 Rh4 Pb4'
_cell_length_a 6.730
_cell_length_b 6.730
_cell_length_c 6.730
_cell_angle_alpha 90.00
_cell_angle_beta 90.00
_cell_angle_gamma 90.00
_space_group_name_H-M_alt 'F -4 3 m'
_space_group_IT_number 216
_space_group_name_Hall 'F -4 2 3'
loop_
_atom_site_label
_atom_site_fract_x
_atom_site_fract_y
_atom_site_fract_z
_atom_site_occupancy
Pu1 0.000 0.000 0.000 1
Ni1 0.250 0.250 0.250 1
Rh1 0.250 0.250 0.750 1
Pb1 0.000 0.000 0.500 1
```

=====

Number 1: E -5.872 eV per atom. Number 2: E -4.836 eV per atom. Number 3: E -7.913 eV per atom. Number 4: E -7.957 eV per atom. Number 5: E -7.810 eV per atom. Number 6: E -7.916 eV per atom.